# PBE-GGA La3ScAu, relaxed
data_La3ScAu
_chemical_formula_sum 'La3 Sc1 Au1'
_cell_length_a 5.819
_cell_length_b 5.819
_cell_length_c 5.819
_cell_angle_alpha 90.00
_cell_angle_beta 90.00
_cell_angle_gamma 90.00
_space_group_name_H-M_alt 'P m -3 m'
_space_group_IT_number 221
_space_group_name_Hall '-P 4 2 3'
loop_
_atom_site_label
_atom_site_type_symbol
_atom_site_fract_x
_atom_site_fract_y
_atom_site_fract_z
La1 La 0.000 0.000 0.500
Sc1 Sc 0.500 0.500 0.500
Au1 Au 0.000 0.000 0.000
# Fermi-level density of states, states/eV/cell: 10.9
# Energy relative to the elements, kJ/mol of atoms: 11.7